# CrCu2Os (PBE, optimized geometry)
# Total DFT energy (no corrections) (eV per formula unit): -26.33
# Calculated formation energy (eV per atom): 0.68
# DOS at the Fermi energy (states/eV per cell): 16.9
data_CrCu2Os
_space_group_name_H-M_alt 'I -4 2 d'
_space_group_IT_number 122
_space_group_name_Hall 'I -4 2bw'
_cell_length_a 3.4385
_cell_length_b 3.4385
_cell_length_c 18.4121
_cell_angle_alpha 90.00
_cell_angle_beta 90.00
_cell_angle_gamma 90.00
loop_
_atom_site_label
_atom_site_type_symbol
_atom_site_fract_x
_atom_site_fract_y
_atom_site_fract_z
_atom_site_occupancy
Cr1 Cr 0.0000 0.0000 0.0000 1
Cu1 Cu 0.2501 0.2500 0.1250 1
Os1 Os 0.0000 0.0000 0.5000 1

# CrCu2Os (PBE, optimized geometry)
# Total DFT energy (no corrections) (eV per formula unit): -27.79
# Calculated formation energy (eV per atom): 0.31
# DOS at the Fermi energy (states/eV per cell): 8.4
data_CrCu2Os
_space_group_name_H-M_alt 'F -4 3 m'
_space_group_IT_number 216
_space_group_name_Hall 'F -4 2 3'
_cell_length_a 5.9041
_cell_length_b 5.9041
_cell_length_c 5.9041
_cell_angle_alpha 90.00
_cell_angle_beta 90.00
_cell_angle_gamma 90.00
loop_
_atom_site_label
_atom_site_type_symbol
_atom_site_fract_x
_atom_site_fract_y
_atom_site_fract_z
_atom_site_occupancy
Cr1 Cr 0.0000 0.0000 0.0000 1
Cu1 Cu 0.0000 0.0000 0.5000 1
Cu2 Cu 0.2500 0.2500 0.2500 1
Os1 Os 0.2500 0.2500 0.7500 1

# CrCu2Os (PBE, optimized geometry)
# Total DFT energy (no corrections) (eV per formula unit): -27.86
# Calculated formation energy (eV per atom): 0.30
# DOS at the Fermi energy (states/eV per cell): 7.0
data_CrCu2Os
_space_group_name_H-M_alt 'C m m 2'
_space_group_IT_number 35
_space_group_name_Hall 'C 2 -2'
_cell_length_a 2.7997
_cell_length_b 4.3281
_cell_length_c 8.5719
_cell_angle_alpha 90.00
_cell_angle_beta 90.00
_cell_angle_gamma 90.00
loop_
_atom_site_label
_atom_site_type_symbol
_atom_site_fract_x
_atom_site_fract_y
_atom_site_fract_z
_atom_site_occupancy
Cr1 Cr 0.0000 0.0000 0.0000 1
Cu1 Cu 0.0000 0.0000 0.4911 1
Cu2 Cu 0.0000 0.5000 0.2490 1
Os1 Os 0.0000 0.5000 0.7585 1

- The lowest total DFT energy (no corrections) belongs to which entry?
  number 3

- What is the calculated formation energy in the second record?
  0.31 eV per atom